Version one
This record from Alexandria via LeMat-Bulk describes an optimized crystal structure of BaCaZr. The functional is PBE.

Geometry as CIF:
```
data_BaCaZr
_chemical_formula_sum 'Ba1 Ca1 Zr1'
_space_group_name_H-M_alt 'P 1'
_space_group_IT_number 1
_space_group_name_Hall 'P 1'
_cell_length_a 8.7428
_cell_length_b 8.7427
_cell_length_c 3.6335
_cell_angle_alpha 78.01
_cell_angle_beta 78.01
_cell_angle_gamma 23.99
loop_
_atom_site_label
_atom_site_type_symbol
_atom_site_fract_x
_atom_site_fract_y
_atom_site_fract_z
Ca1 Ca 0.3121 0.3121 0.6879
Ba1 Ba 0.0156 0.0156 0.9844
Zr1 Zr 0.6723 0.6723 0.3277
```

Space-group type: I4mm
DOS(E_F) (states/eV per cell): 4.61
Magnetization (μB/cell): 0.0

---

Version two
This record from Alexandria via LeMat-Bulk describes an optimized crystal structure of BaCaZr. The functional is PBE.

Geometry as CIF:
```
data_BaCaZr
_chemical_formula_sum 'Ba2 Ca2 Zr2'
_space_group_name_H-M_alt 'P 1'
_space_group_IT_number 1
_space_group_name_Hall 'P 1'
_cell_length_a 9.3377
_cell_length_b 3.7747
_cell_length_c 7.2666
_cell_angle_alpha 74.94
_cell_angle_beta 71.14
_cell_angle_gamma 90.01
loop_
_atom_site_label
_atom_site_type_symbol
_atom_site_fract_x
_atom_site_fract_y
_atom_site_fract_z
Ca1 Ca 0.7997 0.7048 0.0916
Ca2 Ca 0.6616 0.4023 0.6967
Ba1 Ba 0.2300 0.7680 0.9659
Ba2 Ba 0.3871 0.0636 0.3741
Zr1 Zr 0.9695 0.0510 0.3996
Zr2 Zr 0.0321 0.4123 0.6769
```

Space-group type: Cm
DOS(E_F) (states/eV per cell): 4.56
Magnetization (μB/cell): 1.8

---

Which of them is least stable? Easy: version one.

---

Version one
This record from Alexandria via LeMat-Bulk describes an optimized crystal structure of BaCaZr2. The functional is PBE.

Geometry as CIF:
```
data_BaCaZr2
_chemical_formula_sum 'Ba1 Ca1 Zr2'
_space_group_name_H-M_alt 'P 1'
_space_group_IT_number 1
_space_group_name_Hall 'P 1'
_cell_length_a 5.9061
_cell_length_b 5.9061
_cell_length_c 3.5571
_cell_angle_alpha 90.00
_cell_angle_beta 90.00
_cell_angle_gamma 90.00
loop_
_atom_site_label
_atom_site_type_symbol
_atom_site_fract_x
_atom_site_fract_y
_atom_site_fract_z
Ca1 Ca 0.0000 0.5000 0.5000
Ba1 Ba 0.5000 0.0000 0.5000
Zr1 Zr 0.0000 0.0000 0.0000
Zr2 Zr 0.5000 0.5000 0.0000
```

Space-group type: P4/mmm
DOS(E_F) (states/eV per cell): 8.08
Magnetization (μB/cell): 0.0

---

Version two
This record from Alexandria via LeMat-Bulk describes an optimized crystal structure of BaCaZr2. The functional is PBE.

Geometry as CIF:
```
data_BaCaZr2
_chemical_formula_sum 'Ba1 Ca1 Zr2'
_space_group_name_H-M_alt 'P 1'
_space_group_IT_number 1
_space_group_name_Hall 'P 1'
_cell_length_a 6.2120
_cell_length_b 6.2120
_cell_length_c 6.3539
_cell_angle_alpha 85.16
_cell_angle_beta 85.16
_cell_angle_gamma 31.06
loop_
_atom_site_label
_atom_site_type_symbol
_atom_site_fract_x
_atom_site_fract_y
_atom_site_fract_z
Ca1 Ca 0.2500 0.2500 0.2500
Ba1 Ba 0.7500 0.7500 0.7500
Zr1 Zr 0.9966 0.9966 0.0446
Zr2 Zr 0.5034 0.5034 0.4554
```

Space-group type: C2/m
DOS(E_F) (states/eV per cell): 5.95
Magnetization (μB/cell): 0.0

---

Which of them is least stable? Easy: version one.

---

Version one
This record from Alexandria via LeMat-Bulk describes an optimized crystal structure of BaCa3Zr. The functional is PBE.

Geometry as CIF:
```
data_BaCa3Zr
_chemical_formula_sum 'Ba1 Ca3 Zr1'
_space_group_name_H-M_alt 'P 1'
_space_group_IT_number 1
_space_group_name_Hall 'P 1'
_cell_length_a 5.9723
_cell_length_b 5.9723
_cell_length_c 5.9723
_cell_angle_alpha 90.00
_cell_angle_beta 90.00
_cell_angle_gamma 90.00
loop_
_atom_site_label
_atom_site_type_symbol
_atom_site_fract_x
_atom_site_fract_y
_atom_site_fract_z
Ca1 Ca 0.0000 0.5000 0.0000
Ca2 Ca 0.0000 0.0000 0.5000
Ca3 Ca 0.5000 0.0000 0.0000
Ba1 Ba 0.5000 0.5000 0.5000
Zr1 Zr 0.0000 0.0000 0.0000
```

Space-group type: Pm-3m
DOS(E_F) (states/eV per cell): 14.49
Magnetization (μB/cell): 0.0

---

Version two
This record from Alexandria via LeMat-Bulk describes an optimized crystal structure of BaCa3Zr. The functional is PBE.

Geometry as CIF:
```
data_BaCa3Zr
_chemical_formula_sum 'Ba1 Ca3 Zr1'
_space_group_name_H-M_alt 'P 1'
_space_group_IT_number 1
_space_group_name_Hall 'P 1'
_cell_length_a 5.7446
_cell_length_b 5.7446
_cell_length_c 5.7446
_cell_angle_alpha 90.00
_cell_angle_beta 90.00
_cell_angle_gamma 90.00
loop_
_atom_site_label
_atom_site_type_symbol
_atom_site_fract_x
_atom_site_fract_y
_atom_site_fract_z
Ca1 Ca 0.0000 0.5000 0.0000
Ca2 Ca 0.0000 0.0000 0.5000
Ca3 Ca 0.5000 0.0000 0.0000
Ba1 Ba 0.0000 0.0000 0.0000
Zr1 Zr 0.5000 0.5000 0.5000
```

Space-group type: Pm-3m
DOS(E_F) (states/eV per cell): 0.91
Magnetization (μB/cell): 0.0

---

Which of them is least stable? Easy: version two.

---

Version one
This record from Alexandria via LeMat-Bulk describes an optimized crystal structure of Ba3Cd. The functional is PBE.

Geometry as CIF:
```
data_Ba3Cd
_chemical_formula_sum 'Ba3 Cd1'
_space_group_name_H-M_alt 'P 1'
_space_group_IT_number 1
_space_group_name_Hall 'P 1'
_cell_length_a 7.3789
_cell_length_b 7.3789
_cell_length_c 7.3789
_cell_angle_alpha 116.26
_cell_angle_beta 116.26
_cell_angle_gamma 116.26
loop_
_atom_site_label
_atom_site_type_symbol
_atom_site_fract_x
_atom_site_fract_y
_atom_site_fract_z
Ba1 Ba 0.0000 0.0000 0.0000
Ba2 Ba 0.5000 0.0000 0.5000
Ba3 Ba 0.5000 0.5000 0.0000
Cd1 Cd 0.0000 0.5000 0.5000
```

Space-group type: R-3m
DOS(E_F) (states/eV per cell): 4.39
Magnetization (μB/cell): 0.0

---

Version two
This record from Alexandria via LeMat-Bulk describes an optimized crystal structure of Ba3Cd. The functional is PBE.

Geometry as CIF:
```
data_Ba3Cd
_chemical_formula_sum 'Ba6 Cd2'
_space_group_name_H-M_alt 'P 1'
_space_group_IT_number 1
_space_group_name_Hall 'P 1'
_cell_length_a 4.6728
_cell_length_b 8.1173
_cell_length_c 11.2267
_cell_angle_alpha 90.00
_cell_angle_beta 90.00
_cell_angle_gamma 106.73
loop_
_atom_site_label
_atom_site_type_symbol
_atom_site_fract_x
_atom_site_fract_y
_atom_site_fract_z
Ba1 Ba 0.4407 0.8814 0.7500
Ba2 Ba 0.5593 0.1186 0.2500
Ba3 Ba 0.1416 0.2831 0.9416
Ba4 Ba 0.8584 0.7169 0.0584
Ba5 Ba 0.8584 0.7169 0.4416
Ba6 Ba 0.1416 0.2831 0.5584
Cd1 Cd 0.7540 0.5081 0.7500
Cd2 Cd 0.2460 0.4919 0.2500
```

Space-group type: Cmcm
DOS(E_F) (states/eV per cell): 13.27
Magnetization (μB/cell): 0.0

---

Version three
This record from Alexandria via LeMat-Bulk describes an optimized crystal structure of Ba3Cd. The functional is PBE.

Geometry as CIF:
```
data_Ba3Cd
_chemical_formula_sum 'Ba3 Cd1'
_space_group_name_H-M_alt 'P 1'
_space_group_IT_number 1
_space_group_name_Hall 'P 1'
_cell_length_a 4.3309
_cell_length_b 4.3309
_cell_length_c 10.9941
_cell_angle_alpha 90.00
_cell_angle_beta 90.00
_cell_angle_gamma 90.00
loop_
_atom_site_label
_atom_site_type_symbol
_atom_site_fract_x
_atom_site_fract_y
_atom_site_fract_z
Ba1 Ba 0.0000 0.0000 0.5000
Ba2 Ba 0.5000 0.5000 0.1835
Ba3 Ba 0.5000 0.5000 0.8165
Cd1 Cd 0.0000 0.0000 0.0000
```

Space-group type: P4/mmm
DOS(E_F) (states/eV per cell): 5.76
Magnetization (μB/cell): 0.0

---

Version four
This record from Alexandria via LeMat-Bulk describes an optimized crystal structure of Ba3Cd. The functional is PBE.

Geometry as CIF:
```
data_Ba3Cd
_chemical_formula_sum 'Ba3 Cd1'
_space_group_name_H-M_alt 'P 1'
_space_group_IT_number 1
_space_group_name_Hall 'P 1'
_cell_length_a 5.6060
_cell_length_b 5.6060
_cell_length_c 7.2766
_cell_angle_alpha 112.66
_cell_angle_beta 112.66
_cell_angle_gamma 90.00
loop_
_atom_site_label
_atom_site_type_symbol
_atom_site_fract_x
_atom_site_fract_y
_atom_site_fract_z
Ba1 Ba 0.7500 0.2500 0.5000
Ba2 Ba 0.2500 0.7500 0.5000
Ba3 Ba 0.5000 0.5000 0.0000
Cd1 Cd 0.0000 0.0000 0.0000
```

Space-group type: I4/mmm
DOS(E_F) (states/eV per cell): 7.15
Magnetization (μB/cell): 0.0

---

Which of them is least stable? Easy: version one.

---

Version one
This record from Alexandria via LeMat-Bulk describes an optimized crystal structure of Ba3Cd5. The functional is PBE.

Geometry as CIF:
```
data_Ba3Cd5
_chemical_formula_sum 'Ba6 Cd10'
_space_group_name_H-M_alt 'P 1'
_space_group_IT_number 1
_space_group_name_Hall 'P 1'
_cell_length_a 11.0549
_cell_length_b 11.0549
_cell_length_c 5.6506
_cell_angle_alpha 90.00
_cell_angle_beta 90.00
_cell_angle_gamma 120.00
loop_
_atom_site_label
_atom_site_type_symbol
_atom_site_fract_x
_atom_site_fract_y
_atom_site_fract_z
Ba1 Ba 0.6328 0.0000 0.2500
Ba2 Ba 0.3672 0.0000 0.7500
Ba3 Ba 0.0000 0.6328 0.2500
Ba4 Ba 0.3672 0.3672 0.2500
Ba5 Ba 0.6328 0.6328 0.7500
Ba6 Ba 0.0000 0.3672 0.7500
Cd1 Cd 0.3333 0.6667 0.0000
Cd2 Cd 0.6667 0.3333 0.5000
Cd3 Cd 0.6667 0.3333 0.0000
Cd4 Cd 0.3333 0.6667 0.5000
Cd5 Cd 0.1644 0.0000 0.2500
Cd6 Cd 0.8356 0.0000 0.7500
Cd7 Cd 0.0000 0.1644 0.2500
Cd8 Cd 0.8356 0.8356 0.2500
Cd9 Cd 0.1644 0.1644 0.7500
Cd10 Cd 0.0000 0.8356 0.7500
```

Space-group type: P6_3/mcm
DOS(E_F) (states/eV per cell): 15.53
Magnetization (μB/cell): 0.0

---

Version two
This record from Alexandria via LeMat-Bulk describes an optimized crystal structure of Ba3Cd5. The functional is PBE.

Geometry as CIF:
```
data_Ba3Cd5
_chemical_formula_sum 'Ba3 Cd5'
_space_group_name_H-M_alt 'P 1'
_space_group_IT_number 1
_space_group_name_Hall 'P 1'
_cell_length_a 7.2073
_cell_length_b 7.2073
_cell_length_c 5.6841
_cell_angle_alpha 90.00
_cell_angle_beta 90.00
_cell_angle_gamma 105.94
loop_
_atom_site_label
_atom_site_type_symbol
_atom_site_fract_x
_atom_site_fract_y
_atom_site_fract_z
Ba1 Ba 0.5000 0.5000 0.0000
Ba2 Ba 0.7754 0.2246 0.5000
Ba3 Ba 0.2246 0.7754 0.5000
Cd1 Cd 0.0000 0.0000 0.0000
Cd2 Cd 0.0000 0.5000 0.0000
Cd3 Cd 0.5000 0.0000 0.0000
Cd4 Cd 0.2675 0.2675 0.5000
Cd5 Cd 0.7325 0.7325 0.5000
```

Space-group type: Cmmm
DOS(E_F) (states/eV per cell): 6.35
Magnetization (μB/cell): 0.0

---

Which of them is least stable? Easy: version one.